# Ta2Si2Mo, optimized geometry, DFT PBE
data_Ta2Si2Mo
_symmetry_space_group_name_H-M 'P 4/m b m'
_symmetry_Int_Tables_number 127
_symmetry_space_group_name_Hall '-P 4 2ab'
_cell_length_a 6.582
_cell_length_b 6.582
_cell_length_c 3.560
_cell_angle_alpha 90.00
_cell_angle_beta 90.00
_cell_angle_gamma 90.00
loop_
_atom_site_label
_atom_site_fract_x
_atom_site_fract_y
_atom_site_fract_z
Ta1 0.168 0.332 0.000
Si1 0.131 0.631 0.500
Mo1 0.000 0.000 0.500
# energy relative to the elements, uncorrected = -0.49 eV/atom
# V = 154.2 Å³/cell
# density of states at the Fermi level = 6.5 states/eV/cell